(1)
Pa2Tl5Br12 | PBE | relaxed

```
Pa2Tl5Br12
1.0
9.216 -4.150 0.000
9.216 4.150 0.000
-3.626 0.000 10.543
Pa Tl Br
2 5 12
Direct
0.237 0.763 0.000 Pa
0.763 0.237 0.000 Pa
0.000 0.000 0.500 Tl
0.286 0.286 0.622 Tl
0.322 0.322 0.232 Tl
0.678 0.678 0.768 Tl
0.714 0.714 0.378 Tl
0.008 0.008 0.194 Br
0.094 0.590 0.930 Br
0.108 0.601 0.448 Br
0.399 0.892 0.552 Br
0.410 0.906 0.070 Br
0.494 0.494 0.820 Br
0.506 0.506 0.180 Br
0.590 0.094 0.930 Br
0.601 0.108 0.448 Br
0.892 0.399 0.552 Br
0.906 0.410 0.070 Br
0.992 0.992 0.806 Br
```

Summary:
Formation energy from raw total energies (meV/atom): -1088
Calculated total energy (eV per atom): -3.767
Space group: C2/m, No. 12

(2)
LiCo2As | PBE | relaxed

```
LiCo2As
1.0
2.820 0.000 0.000
-1.410 2.442 0.000
0.000 0.000 23.316
Li Co As
3 6 3
Direct
0.000 0.000 0.000 Li
0.333 0.667 0.667 Li
0.667 0.333 0.333 Li
0.000 0.000 0.242 Co
0.000 0.000 0.758 Co
0.333 0.667 0.425 Co
0.333 0.667 0.909 Co
0.667 0.333 0.091 Co
0.667 0.333 0.575 Co
0.000 0.000 0.500 As
0.333 0.667 0.167 As
0.667 0.333 0.833 As
```

Summary:
Calculated total energy (eV per atom): -4.968
Space group: R-3m, No. 166
Energy of formation (kJ per mole of atoms): 21.8

(3)
MnTe2Ru | PBE | relaxed

```
MnTe2Ru
1.0
6.733 0.000 0.000
0.000 6.733 0.000
0.000 0.000 6.733
Mn Te Ru
4 8 4
Direct
0.000 0.000 0.000 Mn
0.000 0.500 0.500 Mn
0.500 0.000 0.500 Mn
0.500 0.500 0.000 Mn
0.250 0.250 0.250 Te
0.250 0.250 0.750 Te
0.250 0.750 0.250 Te
0.250 0.750 0.750 Te
0.750 0.250 0.250 Te
0.750 0.250 0.750 Te
0.750 0.750 0.250 Te
0.750 0.750 0.750 Te
0.000 0.000 0.500 Ru
0.000 0.500 0.000 Ru
0.500 0.000 0.000 Ru
0.500 0.500 0.500 Ru
```

Summary:
Formation energy from raw total energies (meV/atom): 277
Calculated total energy (eV per atom): -5.906
E above lowest polymorph (meV/atom): 381.1
Space group: Fm-3m, No. 225

(4)
DyU2Ru3 | PBE | relaxed

```
DyU2Ru3
1.0
4.019 -4.839 0.000
4.019 4.839 0.000
-0.583 0.000 6.526
Dy U Ru
2 4 6
Direct
0.178 0.178 0.217 Dy
0.822 0.822 0.783 Dy
0.268 0.732 0.500 U
0.319 0.681 0.000 U
0.681 0.319 0.000 U
0.732 0.268 0.500 U
0.007 0.310 0.768 Ru
0.310 0.007 0.768 Ru
0.437 0.437 0.706 Ru
0.563 0.563 0.294 Ru
0.690 0.993 0.232 Ru
0.993 0.690 0.232 Ru
```

Summary:
Calculated total energy (eV per atom): -9.405
Space group: C2/m, No. 12
Energy of formation (kJ per mole of atoms): -22.9

(5)
Sm2GePt | PBE | relaxed

```
Sm2GePt
1.0
4.371 0.000 0.000
-2.185 3.785 0.000
0.000 0.000 19.096
Sm Ge Pt
6 3 3
Direct
0.000 0.000 0.249 Sm
0.000 0.000 0.751 Sm
0.333 0.667 0.418 Sm
0.333 0.667 0.915 Sm
0.667 0.333 0.085 Sm
0.667 0.333 0.582 Sm
0.000 0.000 0.000 Ge
0.333 0.667 0.667 Ge
0.667 0.333 0.333 Ge
0.000 0.000 0.500 Pt
0.333 0.667 0.167 Pt
0.667 0.333 0.833 Pt
```

Summary:
Calculated total energy (eV per atom): -5.852
Space group: R-3m, No. 166
Energy of formation (kJ per mole of atoms): -79.9

(6)
Li9AgRh2 | PBE | relaxed

```
Li9AgRh2
1.0
4.365 0.000 0.000
0.000 4.365 0.000
0.000 0.000 9.224
Li Ag Rh
9 1 2
Direct
0.000 0.000 0.000 Li
0.000 0.000 0.341 Li
0.000 0.000 0.659 Li
0.000 0.500 0.187 Li
0.000 0.500 0.500 Li
0.000 0.500 0.813 Li
0.500 0.000 0.187 Li
0.500 0.000 0.500 Li
0.500 0.000 0.813 Li
0.500 0.500 0.000 Ag
0.500 0.500 0.349 Rh
0.500 0.500 0.651 Rh
```

Summary:
Calculated total energy (eV per atom): -2.993
Space group: P4/mmm, No. 123
Energy of formation (kJ per mole of atoms): -9.1